No. 1
# BaCaSi2Cl

A geometry-optimized BaCaSi2Cl structure (PBE, Alexandria).

abc: 5.269 5.494 5.269
angles: 90.00 90.00 90.00
Fractional positions:
1 Ca 0.500 0.500 0.500
2 Si 0.000 0.000 0.500
3 Si 0.500 0.000 0.000
4 Ba 0.000 0.500 0.000
5 Cl 0.000 0.000 0.000



No. 2
# BaCaSnCl6

A geometry-optimized BaCaSnCl6 structure (PBE, Alexandria).

abc: 7.254 7.254 13.321
angles: 90.00 90.00 120.00
Fractional positions:
1 Ba 0.000 0.000 0.000
2 Ba 0.000 0.000 0.500
3 Ca 0.667 0.333 0.250
4 Ca 0.333 0.667 0.750
5 Sn 0.333 0.667 0.250
6 Sn 0.667 0.333 0.750
7 Cl 0.652 0.641 0.134
8 Cl 0.989 0.348 0.134
9 Cl 0.348 0.989 0.634
10 Cl 0.011 0.652 0.866
11 Cl 0.359 0.348 0.366
12 Cl 0.989 0.641 0.366
13 Cl 0.641 0.989 0.866
14 Cl 0.652 0.011 0.366
15 Cl 0.011 0.359 0.634
16 Cl 0.359 0.011 0.134
17 Cl 0.641 0.652 0.634
18 Cl 0.348 0.359 0.866



No. 3
# BaCa2SnCl8

A geometry-optimized BaCa2SnCl8 structure (PBE, Alexandria).

abc: 6.751 6.600 8.741
angles: 90.00 90.00 89.73
Fractional positions:
1 Ba 0.000 0.000 0.500
2 Ca 0.500 0.500 0.756
3 Ca 0.500 0.500 0.244
4 Sn 0.000 0.000 0.000
5 Cl 0.180 0.761 0.234
6 Cl 0.668 0.715 0.000
7 Cl 0.820 0.239 0.234
8 Cl 0.820 0.239 0.766
9 Cl 0.332 0.285 0.000
10 Cl 0.180 0.761 0.766
11 Cl 0.647 0.708 0.500
12 Cl 0.353 0.292 0.500



Number 1: E_tot -3.1693 eV per atom, Fermi-level density of states 3.194 states/eV/f.u., E_form (uncorrected) 0.154 eV/atom. Number 2: E_tot -4.0771 eV per atom, Fermi-level density of states 0.000 states/eV/f.u., E_form (uncorrected) -1.965 eV/atom. Number 3: E_tot -4.1116 eV per atom, Fermi-level density of states 0.000 states/eV/f.u., E_form (uncorrected) -2.053 eV/atom.